Version 1
Material: TiPd6Pt2
Method: DFT, GGA-PBE
State: relaxed Values from VASP.

```
&SYSTEM
  ibrav = 0, nat = 9, ntyp = 3
/
ATOMIC_SPECIES
Ti 47.87 Ti.upf
Pd 106.42 Pd.upf
Pt 195.08 Pt.upf
CELL_PARAMETERS angstrom
6.839 -1.374 0.000
6.839 1.374 0.000
-5.253 0.000 7.624
ATOMIC_POSITIONS angstrom
Ti 0.000 0.000 0.000
Pd -3.324 0.000 6.063
Pd 2.508 0.000 1.035
Pd 1.176 0.000 5.275
Pd 7.249 0.000 2.350
Pd 5.916 0.000 6.590
Pd 11.749 0.000 1.561
Pt -1.305 0.000 4.158
Pt 9.730 0.000 3.466
```

The total magnetic moment comes out at 0.00 μB/f.u. The calculation puts the volume at 15.9 Å³/atom.

=====

Version 2
Material: TiPd6Pt2
Method: DFT, GGA-PBE
State: relaxed Values from VASP.

```
&SYSTEM
  ibrav = 0, nat = 18, ntyp = 3
/
ATOMIC_SPECIES
Ti 47.87 Ti.upf
Pd 106.42 Pd.upf
Pt 195.08 Pt.upf
CELL_PARAMETERS angstrom
3.656 -4.696 0.000
3.656 4.696 0.000
-1.762 0.000 8.184
ATOMIC_POSITIONS angstrom
Ti 2.334 3.509 6.138
Ti 3.215 -3.509 2.046
Pd 3.472 3.544 0.686
Pd 2.958 3.544 3.406
Pd 1.533 1.149 3.770
Pd 2.185 1.123 1.119
Pd 0.652 -1.149 7.861
Pd 1.304 -1.123 5.211
Pd 4.245 1.123 2.973
Pd 4.898 1.149 0.322
Pd 3.364 -1.123 7.065
Pd 4.017 -1.149 4.414
Pd 2.591 -3.544 4.778
Pd 2.077 -3.544 7.498
Pt 1.041 1.289 6.544
Pt 1.922 -1.289 2.452
Pt 3.628 1.289 5.731
Pt 4.509 -1.289 1.640
```

The total magnetic moment comes out at 0.00 μB/f.u. The calculation puts the volume at 15.6 Å³/atom.

=====

Q: Which of them is the most stable? A: version 2.

=====

Version 1
Material: Ti3PdPt2
Method: DFT, GGA-PBE
State: relaxed Values from VASP.

```
&SYSTEM
  ibrav = 0, nat = 6, ntyp = 3
/
ATOMIC_SPECIES
Ti 47.87 Ti.upf
Pd 106.42 Pd.upf
Pt 195.08 Pt.upf
CELL_PARAMETERS angstrom
2.003 -5.999 0.000
2.003 5.999 0.000
0.000 0.000 3.878
ATOMIC_POSITIONS angstrom
Ti 0.000 0.000 0.000
Ti 2.003 2.014 0.000
Ti 2.003 -2.014 0.000
Pd 2.003 0.000 1.939
Pt 2.003 4.011 1.939
Pt 2.003 -4.011 1.939
```

The total magnetic moment comes out at 1.16 μB/f.u. The calculation puts the volume at 15.5 Å³/atom.

=====

Version 2
Material: Ti3PdPt2
Method: DFT, GGA-PBE
State: relaxed Values from VASP.

```
&SYSTEM
  ibrav = 0, nat = 6, ntyp = 3
/
ATOMIC_SPECIES
Ti 47.87 Ti.upf
Pd 106.42 Pd.upf
Pt 195.08 Pt.upf
CELL_PARAMETERS angstrom
-1.376 2.412 7.569
1.376 -2.412 7.569
1.376 2.412 -7.569
ATOMIC_POSITIONS angstrom
Ti 0.000 0.000 0.000
Ti 1.376 0.000 4.848
Ti 0.000 2.412 2.721
Pd 0.000 2.412 0.000
Pt 1.376 0.000 2.307
Pt 0.000 2.412 5.262
```

The total magnetic moment comes out at 0.00 μB/f.u. The calculation puts the volume at 16.7 Å³/atom.

=====

Q: Which of them is the most stable? A: version 1.

=====

Version 1
Material: Ti3Pd2Pt
Method: DFT, GGA-PBE
State: relaxed Values from VASP.

```
&SYSTEM
  ibrav = 0, nat = 6, ntyp = 3
/
ATOMIC_SPECIES
Ti 47.87 Ti.upf
Pd 106.42 Pd.upf
Pt 195.08 Pt.upf
CELL_PARAMETERS angstrom
2.844 0.000 0.000
0.000 2.844 0.000
0.000 0.000 11.562
ATOMIC_POSITIONS angstrom
Ti 0.000 0.000 0.000
Ti 0.000 0.000 3.865
Ti 0.000 0.000 7.696
Pd 1.422 1.422 1.919
Pd 1.422 1.422 9.643
Pt 1.422 1.422 5.781
```

The total magnetic moment comes out at 0.81 μB/f.u. The calculation puts the volume at 15.6 Å³/atom.

=====

Version 2
Material: Ti3Pd2Pt
Method: DFT, GGA-PBE
State: relaxed Values from VASP.

```
&SYSTEM
  ibrav = 0, nat = 12, ntyp = 3
/
ATOMIC_SPECIES
Ti 47.87 Ti.upf
Pd 106.42 Pd.upf
Pt 195.08 Pt.upf
CELL_PARAMETERS angstrom
1.451 -12.575 0.000
1.451 12.575 0.000
0.000 0.000 5.326
ATOMIC_POSITIONS angstrom
Ti 1.451 10.599 0.000
Ti 1.451 10.599 2.663
Ti 1.451 6.473 3.995
Ti 1.451 -6.473 1.332
Ti 1.451 -10.599 5.326
Ti 1.451 -10.599 2.663
Pd 1.451 3.849 1.332
Pd 1.451 0.062 3.995
Pd 1.451 -0.062 1.332
Pd 1.451 -3.849 3.995
Pt 1.451 8.254 1.332
Pt 1.451 -8.254 3.995
```

The total magnetic moment comes out at 0.00 μB/f.u. The calculation puts the volume at 16.2 Å³/atom.

=====

Q: Which of them is the most stable? A: version 1.

=====

Version 1
Material: TiPd8Pt6
Method: DFT, GGA-PBE
State: relaxed Values from VASP.

```
&SYSTEM
  ibrav = 0, nat = 15, ntyp = 3
/
ATOMIC_SPECIES
Ti 47.87 Ti.upf
Pd 106.42 Pd.upf
Pt 195.08 Pt.upf
CELL_PARAMETERS angstrom
3.694 2.133 5.378
-3.694 2.133 5.378
0.000 -4.266 5.378
ATOMIC_POSITIONS angstrom
Ti 0.000 0.000 0.000
Pd -2.535 0.257 7.476
Pd -1.490 -2.066 8.659
Pd 0.000 0.000 4.091
Pd 1.044 -2.324 7.476
Pd -1.044 2.324 8.659
Pd 0.000 0.000 12.044
Pd 1.490 2.066 7.476
Pd 2.535 -0.257 8.659
Pt -1.079 -1.965 5.985
Pt -2.242 -0.048 10.150
Pt -1.162 1.917 5.985
Pt 1.162 -1.918 10.150
Pt 2.242 0.048 5.985
Pt 1.079 1.965 10.150
```

The total magnetic moment comes out at 0.00 μB/f.u. The calculation puts the volume at 17.0 Å³/atom.

=====

Version 2
Material: TiPd8Pt6
Method: DFT, GGA-PBE
State: relaxed Values from VASP.

```
&SYSTEM
  ibrav = 0, nat = 15, ntyp = 3
/
ATOMIC_SPECIES
Ti 47.87 Ti.upf
Pd 106.42 Pd.upf
Pt 195.08 Pt.upf
CELL_PARAMETERS angstrom
3.493 2.017 5.605
-3.493 2.017 5.605
0.000 -4.034 5.605
ATOMIC_POSITIONS angstrom
Ti 0.000 0.000 0.000
Pd -1.907 -1.711 8.948
Pd -2.436 0.796 7.869
Pd 0.529 -2.507 7.869
Pd 0.000 0.000 7.072
Pd 0.000 0.000 9.744
Pd -0.529 2.507 8.948
Pd 2.436 -0.796 8.948
Pd 1.907 1.711 7.869
Pt -1.742 0.143 4.958
Pt 0.747 -1.580 4.958
Pt -0.995 -1.437 11.859
Pt 0.995 1.437 4.958
Pt -0.747 1.580 11.859
Pt 1.742 -0.143 11.859
```

The total magnetic moment comes out at 0.00 μB/f.u. The calculation puts the volume at 15.8 Å³/atom.

=====

Q: Which of them is the most stable? A: version 2.

=====

Version 1
Material: Tl2Pd6Pt
Method: DFT, GGA-PBE
State: relaxed Values from VASP.

```
&SYSTEM
  ibrav = 0, nat = 9, ntyp = 3
/
ATOMIC_SPECIES
Tl 204.38 Tl.upf
Pd 106.42 Pd.upf
Pt 195.08 Pt.upf
CELL_PARAMETERS angstrom
0.000 5.588 6.447
2.120 0.000 6.447
2.120 5.588 0.000
ATOMIC_POSITIONS angstrom
Tl 2.120 5.588 2.001
Tl 2.120 5.588 10.893
Pd 2.120 3.725 4.277
Pd 2.120 1.934 6.447
Pd 2.120 7.451 4.277
Pd 2.120 3.725 8.618
Pd 2.120 9.241 6.447
Pd 2.120 7.451 8.618
Pt 2.120 5.588 6.447
```

The total magnetic moment comes out at 0.00 μB/f.u. The calculation puts the volume at 17.0 Å³/atom.

=====

Version 2
Material: Tl2Pd6Pt
Method: DFT, GGA-PBE
State: relaxed Values from VASP.

```
&SYSTEM
  ibrav = 0, nat = 9, ntyp = 3
/
ATOMIC_SPECIES
Tl 204.38 Tl.upf
Pd 106.42 Pd.upf
Pt 195.08 Pt.upf
CELL_PARAMETERS angstrom
4.938 -2.711 0.000
4.938 2.711 0.000
-1.718 0.000 6.095
ATOMIC_POSITIONS angstrom
Tl 1.311 0.000 0.903
Tl 6.848 0.000 5.192
Pd 3.608 1.391 1.787
Pd 2.023 0.000 3.667
Pd 4.550 1.391 4.308
Pd 3.608 -1.391 1.787
Pd 6.135 0.000 2.428
Pd 4.550 -1.391 4.308
Pt 4.938 0.000 0.000
```

The total magnetic moment comes out at 0.00 μB/f.u. The calculation puts the volume at 18.1 Å³/atom.

=====

Q: Which of them is the most stable? A: version 1.

=====

Version 1
Material: TlPd6Pt3
Method: DFT, GGA-PBE
State: relaxed Values from VASP.

```
&SYSTEM
  ibrav = 0, nat = 10, ntyp = 3
/
ATOMIC_SPECIES
Tl 204.38 Tl.upf
Pd 106.42 Pd.upf
Pt 195.08 Pt.upf
CELL_PARAMETERS angstrom
6.874 -2.726 0.000
6.874 2.726 0.000
-0.041 0.000 4.765
ATOMIC_POSITIONS angstrom
Tl 0.000 0.000 0.000
Pd 4.697 1.380 3.151
Pd 4.732 0.000 0.799
Pd 9.011 1.380 1.613
Pd 4.697 -1.380 3.151
Pd 8.976 0.000 3.966
Pd 9.011 -1.380 1.613
Pt 2.472 0.000 3.968
Pt 6.854 0.000 2.382
Pt 11.236 0.000 0.796
```

The total magnetic moment comes out at 0.00 μB/f.u. The calculation puts the volume at 17.9 Å³/atom.

=====

Version 2
Material: TlPd6Pt3
Method: DFT, GGA-PBE
State: relaxed Values from VASP.

```
&SYSTEM
  ibrav = 0, nat = 10, ntyp = 3
/
ATOMIC_SPECIES
Tl 204.38 Tl.upf
Pd 106.42 Pd.upf
Pt 195.08 Pt.upf
CELL_PARAMETERS angstrom
3.612 -3.642 0.000
3.612 3.642 0.000
-1.657 0.000 6.799
ATOMIC_POSITIONS angstrom
Tl 0.000 0.000 0.000
Pd 0.218 0.000 2.630
Pd 2.371 1.389 1.170
Pd 3.196 1.389 5.629
Pd 2.371 -1.389 1.170
Pd 3.196 -1.389 5.629
Pd 5.348 0.000 4.169
Pt 0.908 0.000 5.289
Pt 2.783 0.000 3.400
Pt 4.658 0.000 1.510
```

The total magnetic moment comes out at 0.00 μB/f.u. The calculation puts the volume at 17.9 Å³/atom.

=====

Q: Which of them is the most stable? A: version 1.